1.
Compound: Mo2AuCl
Source: Alexandria
Functional: PBE-GGA
Structure: relaxed

## Properties
* offset from the most stable computed form: 0.797 eV/atom
* VASP energy: -22.88 eV for the cell shown
* space group: No. 139
* formation energy (no corrections): 977 meV/atom

Cell and atoms, written as CIF:
```
data_Mo2AuCl
_space_group_name_H-M_alt 'P 1'
_space_group_IT_number 1
_cell_length_a 5.143
_cell_length_b 5.143
_cell_length_c 5.143
_cell_angle_alpha 134.58
_cell_angle_beta 134.58
_cell_angle_gamma 66.18
loop_
_space_group_symop_operation_xyz
'x,y,z'
loop_
_atom_site_label
_atom_site_fract_x
_atom_site_fract_y
_atom_site_fract_z
_atom_site_occupancy
Mo1 0.000 0.000 0.000 1
Mo2 0.500 0.500 0.000 1
Cl1 0.750 0.250 0.500 1
Au1 0.250 0.750 0.500 1
```



2.
Compound: MoAuCl
Source: Alexandria
Functional: PBE-GGA
Structure: relaxed

## Properties
* offset from the most stable computed form: 0.162 eV/atom
* VASP energy: -15.26 eV for the cell shown
* space group: No. 107
* formation energy (no corrections): 233 meV/atom

Cell and atoms, written as CIF:
```
data_MoAuCl
_space_group_name_H-M_alt 'P 1'
_space_group_IT_number 1
_cell_length_a 7.035
_cell_length_b 7.035
_cell_length_c 7.035
_cell_angle_alpha 155.60
_cell_angle_beta 155.60
_cell_angle_gamma 34.77
loop_
_space_group_symop_operation_xyz
'x,y,z'
loop_
_atom_site_label
_atom_site_fract_x
_atom_site_fract_y
_atom_site_fract_z
_atom_site_occupancy
Cl1 0.289 0.289 0.000 1
Mo1 0.673 0.673 0.000 1
Au1 0.038 0.038 0.000 1
```



3.
Compound: MoAu2Cl8
Source: Alexandria
Functional: PBE-GGA
Structure: relaxed

## Properties
* VASP energy: -37.45 eV for the cell shown
* space group: No. 2
* formation energy (no corrections): -481 meV/atom

Cell and atoms, written as CIF:
```
data_MoAu2Cl8
_space_group_name_H-M_alt 'P 1'
_space_group_IT_number 1
_cell_length_a 7.230
_cell_length_b 8.285
_cell_length_c 8.072
_cell_angle_alpha 46.04
_cell_angle_beta 74.35
_cell_angle_gamma 81.74
loop_
_space_group_symop_operation_xyz
'x,y,z'
loop_
_atom_site_label
_atom_site_fract_x
_atom_site_fract_y
_atom_site_fract_z
_atom_site_occupancy
Cl1 0.077 0.763 0.361 1
Cl2 0.923 0.237 0.639 1
Cl3 0.418 0.461 0.236 1
Cl4 0.963 0.699 0.042 1
Cl5 0.037 0.301 0.958 1
Cl6 0.582 0.539 0.764 1
Cl7 0.659 0.935 0.194 1
Cl8 0.341 0.065 0.806 1
Mo1 0.000 0.000 0.000 1
Au1 0.463 0.822 0.750 1
Au2 0.537 0.178 0.250 1
```



4.
Compound: MoAu2Cl
Source: Alexandria
Functional: PBE-GGA
Structure: relaxed

## Properties
* offset from the most stable computed form: 0.455 eV/atom
* VASP energy: -16.81 eV for the cell shown
* space group: No. 123
* formation energy (no corrections): 607 meV/atom

Cell and atoms, written as CIF:
```
data_MoAu2Cl
_space_group_name_H-M_alt 'P 1'
_space_group_IT_number 1
_cell_length_a 5.244
_cell_length_b 3.865
_cell_length_c 3.865
_cell_angle_alpha 90.00
_cell_angle_beta 90.00
_cell_angle_gamma 90.00
loop_
_space_group_symop_operation_xyz
'x,y,z'
loop_
_atom_site_label
_atom_site_fract_x
_atom_site_fract_y
_atom_site_fract_z
_atom_site_occupancy
Au1 0.000 0.500 0.500 1
Au2 0.000 0.000 0.000 1
Cl1 0.500 0.500 0.000 1
Mo1 0.500 0.000 0.500 1
```



5.
Compound: MoAu2Cl
Source: Alexandria
Functional: PBE-GGA
Structure: relaxed

## Properties
* offset from the most stable computed form: 0.380 eV/atom
* VASP energy: -17.11 eV for the cell shown
* space group: No. 47
* formation energy (no corrections): 531 meV/atom

Cell and atoms, written as CIF:
```
data_MoAu2Cl
_space_group_name_H-M_alt 'P 1'
_space_group_IT_number 1
_cell_length_a 2.925
_cell_length_b 4.608
_cell_length_c 5.498
_cell_angle_alpha 90.00
_cell_angle_beta 90.00
_cell_angle_gamma 90.00
loop_
_space_group_symop_operation_xyz
'x,y,z'
loop_
_atom_site_label
_atom_site_fract_x
_atom_site_fract_y
_atom_site_fract_z
_atom_site_occupancy
Cl1 0.500 0.000 0.500 1
Au1 0.000 0.000 0.000 1
Au2 0.500 0.500 0.000 1
Mo1 0.000 0.500 0.500 1
```



6.
Compound: Mo2AuCl
Source: Alexandria
Functional: PBE-GGA
Structure: relaxed

## Properties
* offset from the most stable computed form: 0.000 eV/atom
* VASP energy: -26.06 eV for the cell shown
* space group: No. 160
* formation energy (no corrections): 181 meV/atom

Cell and atoms, written as CIF:
```
data_Mo2AuCl
_space_group_name_H-M_alt 'P 1'
_space_group_IT_number 1
_cell_length_a 9.869
_cell_length_b 9.869
_cell_length_c 9.869
_cell_angle_alpha 16.98
_cell_angle_beta 16.98
_cell_angle_gamma 16.98
loop_
_space_group_symop_operation_xyz
'x,y,z'
loop_
_atom_site_label
_atom_site_fract_x
_atom_site_fract_y
_atom_site_fract_z
_atom_site_occupancy
Mo1 0.256 0.256 0.256 1
Mo2 0.003 0.003 0.003 1
Cl1 0.732 0.732 0.732 1
Au1 0.509 0.509 0.509 1
```



7.
Compound: Na2MoAuCl
Source: Alexandria
Functional: PBE-GGA
Structure: relaxed

## Properties
* VASP energy: -15.23 eV for the cell shown
* space group: No. 123
* formation energy (no corrections): 672 meV/atom

Cell and atoms, written as CIF:
```
data_Na2MoAuCl
_space_group_name_H-M_alt 'P 1'
_space_group_IT_number 1
_cell_length_a 6.135
_cell_length_b 5.207
_cell_length_c 6.135
_cell_angle_alpha 90.00
_cell_angle_beta 90.00
_cell_angle_gamma 90.00
loop_
_space_group_symop_operation_xyz
'x,y,z'
loop_
_atom_site_label
_atom_site_fract_x
_atom_site_fract_y
_atom_site_fract_z
_atom_site_occupancy
Mo1 0.000 0.000 0.000 1
Cl1 0.500 0.500 0.500 1
Na1 0.000 0.000 0.500 1
Na2 0.500 0.000 0.000 1
Au1 0.000 0.500 0.000 1
```



8.
Compound: MoPAuCl2
Source: Alexandria
Functional: PBE-GGA
Structure: relaxed

## Properties
* offset from the most stable computed form: 0.685 eV/atom
* VASP energy: -18.17 eV for the cell shown
* space group: No. 123
* formation energy (no corrections): 1008 meV/atom

Cell and atoms, written as CIF:
```
data_MoPAuCl2
_space_group_name_H-M_alt 'P 1'
_space_group_IT_number 1
_cell_length_a 4.993
_cell_length_b 4.993
_cell_length_c 4.927
_cell_angle_alpha 90.00
_cell_angle_beta 90.00
_cell_angle_gamma 90.00
loop_
_space_group_symop_operation_xyz
'x,y,z'
loop_
_atom_site_label
_atom_site_fract_x
_atom_site_fract_y
_atom_site_fract_z
_atom_site_occupancy
Au1 0.000 0.000 0.000 1
Cl1 0.500 0.000 0.000 1
Cl2 0.000 0.500 0.000 1
P1 0.000 0.000 0.500 1
Mo1 0.500 0.500 0.500 1
```



9.
Compound: MoPAuCl2
Source: Alexandria
Functional: PBE-GGA
Structure: relaxed

## Properties
* offset from the most stable computed form: 0.000 eV/atom
* VASP energy: -21.59 eV for the cell shown
* space group: No. 123
* formation energy (no corrections): 324 meV/atom

Cell and atoms, written as CIF:
```
data_MoPAuCl2
_space_group_name_H-M_alt 'P 1'
_space_group_IT_number 1
_cell_length_a 4.699
_cell_length_b 4.699
_cell_length_c 4.915
_cell_angle_alpha 90.00
_cell_angle_beta 90.00
_cell_angle_gamma 90.00
loop_
_space_group_symop_operation_xyz
'x,y,z'
loop_
_atom_site_label
_atom_site_fract_x
_atom_site_fract_y
_atom_site_fract_z
_atom_site_occupancy
P1 0.000 0.000 0.500 1
Au1 0.500 0.500 0.500 1
Cl1 0.000 0.500 0.000 1
Cl2 0.500 0.000 0.000 1
Mo1 0.000 0.000 0.000 1
```



10.
Compound: MoPt2AuCl
Source: Alexandria
Functional: PBE-GGA
Structure: relaxed

## Properties
* VASP energy: -22.78 eV for the cell shown
* space group: No. 123
* formation energy (no corrections): 1052 meV/atom

Cell and atoms, written as CIF:
```
data_MoPt2AuCl
_space_group_name_H-M_alt 'P 1'
_space_group_IT_number 1
_cell_length_a 4.573
_cell_length_b 4.400
_cell_length_c 4.573
_cell_angle_alpha 90.00
_cell_angle_beta 90.00
_cell_angle_gamma 90.00
loop_
_space_group_symop_operation_xyz
'x,y,z'
loop_
_atom_site_label
_atom_site_fract_x
_atom_site_fract_y
_atom_site_fract_z
_atom_site_occupancy
Mo1 0.000 0.500 0.000 1
Pt1 0.500 0.000 0.000 1
Pt2 0.000 0.000 0.500 1
Au1 0.500 0.500 0.500 1
Cl1 0.000 0.000 0.000 1
```



| no. | total magnetization (μB per formula unit) |
| --- | --- |
| 1 | 0.000 |
| 2 | 0.000 |
| 3 | 0.816 |
| 4 | 3.725 |
| 5 | 2.060 |
| 6 | 0.000 |
| 7 | 5.015 |
| 8 | 3.254 |
| 9 | 0.588 |
| 10 | 1.471 |